Record 1
# PBE InNiC2, relaxed
# Energy of formation from the pure elements ... 1244 meV/atom
# Volume ... 213.5 Å³/cell
data_InNiC2
_chemical_formula_sum 'In4 Ni4 C8'
_symmetry_space_group_name_H-M 'I -4 2 d'
_symmetry_Int_Tables_number 122
_symmetry_space_group_name_Hall 'I -4 2bw'
_cell_length_a 4.7875
_cell_length_b 4.7875
_cell_length_c 9.3142
_cell_angle_alpha 90.00
_cell_angle_beta 90.00
_cell_angle_gamma 90.00
loop_
_atom_site_label
_atom_site_type_symbol
_atom_site_fract_x
_atom_site_fract_y
_atom_site_fract_z
_atom_site_occupancy
In1 In 0.0000 0.0000 0.0000 1
Ni1 Ni 0.0000 0.0000 0.5000 1
C1 C 0.1764 0.2500 0.6250 1

Record 2
# PBE Mn3ZnSb, relaxed
# Volume ... 128.1 Å³/cell
# E above lowest polymorph ... 0.366 eV per atom
data_Mn3ZnSb
_chemical_formula_sum 'Mn3 Zn1 Sb1'
_symmetry_space_group_name_H-M 'P m -3 m'
_symmetry_Int_Tables_number 221
_symmetry_space_group_name_Hall '-P 4 2 3'
_cell_length_a 5.0411
_cell_length_b 5.0411
_cell_length_c 5.0411
_cell_angle_alpha 90.00
_cell_angle_beta 90.00
_cell_angle_gamma 90.00
loop_
_atom_site_label
_atom_site_type_symbol
_atom_site_fract_x
_atom_site_fract_y
_atom_site_fract_z
_atom_site_occupancy
Mn1 Mn 0.0000 0.0000 0.5000 1
Zn1 Zn 0.5000 0.5000 0.5000 1
Sb1 Sb 0.0000 0.0000 0.0000 1

Record 3
# PBE CsBaIrCl2, relaxed
# Energy ... -13.75 eV/cell
# Volume ... 259.6 Å³/cell
data_CsBaIrCl2
_chemical_formula_sum 'Cs1 Ba1 Ir1 Cl2'
_symmetry_space_group_name_H-M 'P 4/m m m'
_symmetry_Int_Tables_number 123
_symmetry_space_group_name_Hall '-P 4 2'
_cell_length_a 5.9639
_cell_length_b 5.9639
_cell_length_c 7.2973
_cell_angle_alpha 90.00
_cell_angle_beta 90.00
_cell_angle_gamma 90.00
loop_
_atom_site_label
_atom_site_type_symbol
_atom_site_fract_x
_atom_site_fract_y
_atom_site_fract_z
_atom_site_occupancy
Cs1 Cs 0.0000 0.0000 0.0000 1
Ba1 Ba 0.0000 0.0000 0.5000 1
Ir1 Ir 0.5000 0.5000 0.5000 1
Cl1 Cl 0.0000 0.5000 0.0000 1

Record 4
# PBE Sb2Pb2F, relaxed
# Volume ... 268.8 Å³/cell
# E above lowest polymorph ... 0.155 eV per atom
data_Sb2Pb2F
_chemical_formula_sum 'Sb4 Pb4 F2'
_symmetry_space_group_name_H-M 'P 4/m b m'
_symmetry_Int_Tables_number 127
_symmetry_space_group_name_Hall '-P 4 2ab'
_cell_length_a 6.7657
_cell_length_b 6.7657
_cell_length_c 5.8720
_cell_angle_alpha 90.00
_cell_angle_beta 90.00
_cell_angle_gamma 90.00
loop_
_atom_site_label
_atom_site_type_symbol
_atom_site_fract_x
_atom_site_fract_y
_atom_site_fract_z
_atom_site_occupancy
Sb1 Sb 0.1561 0.3439 0.0000 1
Pb1 Pb 0.2035 0.7035 0.5000 1
F1 F 0.0000 0.0000 0.0000 1

Record 5
# PBE Tm4TlTe3, relaxed
# Volume ... 460.5 Å³/cell
# E above lowest polymorph ... 0.009 eV per atom
data_Tm4TlTe3
_chemical_formula_sum 'Tm8 Tl2 Te6'
_symmetry_space_group_name_H-M 'C m m m'
_symmetry_Int_Tables_number 65
_symmetry_space_group_name_Hall '-C 2 2'
_cell_length_a 8.7405
_cell_length_b 12.2714
_cell_length_c 4.2935
_cell_angle_alpha 90.00
_cell_angle_beta 90.00
_cell_angle_gamma 90.00
loop_
_atom_site_label
_atom_site_type_symbol
_atom_site_fract_x
_atom_site_fract_y
_atom_site_fract_z
_atom_site_occupancy
Tm1 Tm 0.0000 0.2411 0.0000 1
Tm2 Tm 0.2379 0.0000 0.5000 1
Tl1 Tl 0.0000 0.0000 0.0000 1
Te1 Te 0.0000 0.5000 0.0000 1
Te2 Te 0.2500 0.2500 0.5000 1

Record 6
# PBE SmPaTl2O8, relaxed
# Energy ... -160.01 eV/cell
# Volume ... 381.6 Å³/cell
data_SmPaTl2O8
_chemical_formula_sum 'Sm2 Pa2 Tl4 O16'
_symmetry_space_group_name_H-M 'I -4 m 2'
_symmetry_Int_Tables_number 119
_symmetry_space_group_name_Hall 'I -4 -2'
_cell_length_a 7.0768
_cell_length_b 7.0768
_cell_length_c 7.6195
_cell_angle_alpha 90.00
_cell_angle_beta 90.00
_cell_angle_gamma 90.00
loop_
_atom_site_label
_atom_site_type_symbol
_atom_site_fract_x
_atom_site_fract_y
_atom_site_fract_z
_atom_site_occupancy
Sm1 Sm 0.0000 0.0000 0.0000 1
Pa1 Pa 0.0000 0.5000 0.7500 1
Tl1 Tl 0.0000 0.0000 0.5000 1
Tl2 Tl 0.0000 0.5000 0.2500 1
O1 O 0.0000 0.1906 0.7203 1
O2 O 0.0000 0.3294 0.0195 1

Record 7
# PBE ZnN2Cl, relaxed
# Volume ... 211.1 Å³/cell
# E above lowest polymorph ... 0.427 eV per atom
data_ZnN2Cl
_chemical_formula_sum 'Zn4 N8 Cl4'
_symmetry_space_group_name_H-M 'I -4 2 d'
_symmetry_Int_Tables_number 122
_symmetry_space_group_name_Hall 'I -4 2bw'
_cell_length_a 4.4330
_cell_length_b 4.4330
_cell_length_c 10.7415
_cell_angle_alpha 90.00
_cell_angle_beta 90.00
_cell_angle_gamma 90.00
loop_
_atom_site_label
_atom_site_type_symbol
_atom_site_fract_x
_atom_site_fract_y
_atom_site_fract_z
_atom_site_occupancy
Zn1 Zn 0.0000 0.0000 0.0000 1
N1 N 0.2430 0.2500 0.6250 1
Cl1 Cl 0.0000 0.0000 0.5000 1

Record 8
# PBE NaY2Ho, relaxed
# Energy of formation from the pure elements ... 128 meV/atom
# Volume ... 132.1 Å³/cell
# E above lowest polymorph ... 0.000 eV per atom
data_NaY2Ho
_chemical_formula_sum 'Na1 Y2 Ho1'
_symmetry_space_group_name_H-M 'P 4/m m m'
_symmetry_Int_Tables_number 123
_symmetry_space_group_name_Hall '-P 4 2'
_cell_length_a 3.5503
_cell_length_b 3.5503
_cell_length_c 10.4831
_cell_angle_alpha 90.00
_cell_angle_beta 90.00
_cell_angle_gamma 90.00
loop_
_atom_site_label
_atom_site_type_symbol
_atom_site_fract_x
_atom_site_fract_y
_atom_site_fract_z
_atom_site_occupancy
Na1 Na 0.0000 0.0000 0.0000 1
Y1 Y 0.5000 0.5000 0.2700 1
Ho1 Ho 0.0000 0.0000 0.5000 1

Please write out number 3 again, unchanged.
# PBE CsBaIrCl2, relaxed
# Energy ... -13.75 eV/cell
# Volume ... 259.6 Å³/cell
data_CsBaIrCl2
_chemical_formula_sum 'Cs1 Ba1 Ir1 Cl2'
_symmetry_space_group_name_H-M 'P 4/m m m'
_symmetry_Int_Tables_number 123
_symmetry_space_group_name_Hall '-P 4 2'
_cell_length_a 5.9639
_cell_length_b 5.9639
_cell_length_c 7.2973
_cell_angle_alpha 90.00
_cell_angle_beta 90.00
_cell_angle_gamma 90.00
loop_
_atom_site_label
_atom_site_type_symbol
_atom_site_fract_x
_atom_site_fract_y
_atom_site_fract_z
_atom_site_occupancy
Cs1 Cs 0.0000 0.0000 0.0000 1
Ba1 Ba 0.0000 0.0000 0.5000 1
Ir1 Ir 0.5000 0.5000 0.5000 1
Cl1 Cl 0.0000 0.5000 0.0000 1